Entry 1:
A relaxed SiNi2H crystal, computed with PBE.

abc: 5.4944 5.4944 4.8884
angles: 90.00 90.00 90.00
Fractional coordinates of all 16 atoms:
Si 0.0000 0.0000 0.0000
Si 0.0000 0.5000 0.2500
Si 0.5000 0.0000 0.7500
Si 0.5000 0.5000 0.5000
Ni 0.1569 0.2500 0.6250
Ni 0.2500 0.6569 0.8750
Ni 0.2500 0.8431 0.3750
Ni 0.3431 0.2500 0.1250
Ni 0.6569 0.7500 0.1250
Ni 0.7500 0.1569 0.3750
Ni 0.7500 0.3431 0.8750
Ni 0.8431 0.7500 0.6250
H 0.0000 0.0000 0.5000
H 0.0000 0.5000 0.7500
H 0.5000 0.0000 0.2500
H 0.5000 0.5000 0.0000

Volume in Å³/f.u.: 36.89
Calculated total energy in eV/atom: -5.2647


Entry 2:
A relaxed Si2NiH crystal, computed with PBE.

abc: 4.1445 4.1445 11.5823
angles: 90.00 90.00 90.00
Fractional coordinates of all 16 atoms:
Si 0.1653 0.2500 0.1250
Si 0.2500 0.6653 0.3750
Si 0.2500 0.8347 0.8750
Si 0.3347 0.2500 0.6250
Si 0.6653 0.7500 0.6250
Si 0.7500 0.1653 0.8750
Si 0.7500 0.3347 0.3750
Si 0.8347 0.7500 0.1250
Ni 0.0000 0.0000 0.5000
Ni 0.0000 0.5000 0.7500
Ni 0.5000 0.0000 0.2500
Ni 0.5000 0.5000 0.0000
H 0.0000 0.0000 0.0000
H 0.0000 0.5000 0.2500
H 0.5000 0.0000 0.7500
H 0.5000 0.5000 0.5000

Volume in Å³/f.u.: 49.74
Calculated total energy in eV/atom: -4.6588